Computed, not measured: crystalline LaSiP2Cl at its relaxed geometry at the PBE level of DFT.

Cell lengths 4.650, 4.650, 4.855 Å; angles 90.00, 90.00, 90.00 degrees
Space group P4/mmm (No. 123)
Symmetry-distinct sites (fractional):
1 La 0.000 0.000 0.000 (multiplicity 1)
2 Si 0.500 0.500 0.500 (multiplicity 1)
3 P 0.000 0.500 0.500 (multiplicity 2)
4 Cl 0.500 0.500 0.000 (multiplicity 1)

The raw total energy is -5.170 eV/atom. The density of states at the Fermi level is 0.207 states/eV/atom. The calculation puts the formation energy without anion corrections at -54.7 kJ/mol of atoms.

=====

Computed, not measured: crystalline Ca2U2O7 at its relaxed geometry at the PBE level of DFT.

Cell lengths 11.075, 11.075, 11.075 Å; angles 90.00, 90.00, 90.00 degrees
Space group Fd-3m (No. 227, origin choice 2)
Symmetry-distinct sites (fractional):
1 Ca 0.000 0.000 0.000 (multiplicity 16)
2 U 0.000 0.000 0.500 (multiplicity 16)
3 O 0.078 0.375 0.875 (multiplicity 48)
4 O 0.125 0.125 0.125 (multiplicity 8)

The raw total energy is -8.757 eV/atom. The density of states at the Fermi level is 0.228 states/eV/atom. The calculation puts the formation energy without anion corrections at -307.3 kJ/mol of atoms.